No. 1
The following is a DFT calculation (SCAN) of CaCrN3 at its PBEsol-relaxed geometry.

Cell and atoms, written as POSCAR:
```
CaCrN3
1.0
3.731 0.000 0.000
0.000 3.731 0.000
0.000 0.000 3.731
Ca Cr N
1 1 3
direct
0.000 0.000 0.000 Ca
0.500 0.500 0.500 Cr
0.000 0.500 0.500 N
0.500 0.000 0.500 N
0.500 0.500 0.000 N
```

Summary:
**M_tot**: 0.00 μB/f.u.
**Crystal system**: cubic
**Energy relative to the elements, uncorrected**: -0.324 eV/atom
**Uncorrected energy**: -57.5 eV/cell
**Calculated density**: 4.29 g cm⁻³
**N(E_F)**: 0.322 states/eV per atom



No. 2
The following is a DFT calculation (SCAN) of ZnCu2Rh at its PBEsol-relaxed geometry.

Cell and atoms, written as POSCAR:
```
ZnCu2Rh
1.0
-1.472 2.037 4.128
1.472 -2.037 4.128
1.472 2.037 -4.128
Zn Cu Rh
1 2 1
direct
0.000 0.000 0.000 Zn
0.242 0.742 0.500 Cu
0.758 0.258 0.500 Cu
0.500 0.500 0.000 Rh
```

Summary:
**M_tot**: 0.00 μB/f.u.
**Crystal system**: orthorhombic
**Uncorrected energy**: -78.1 eV/cell
**ΔE_f**: -0.111 eV/atom
**Calculated density**: 9.91 g cm⁻³
**N(E_F)**: 0.455 states/eV per atom



No. 3
The following is a DFT calculation (SCAN) of SrTa2Mo at its PBEsol-relaxed geometry.

Cell and atoms, written as POSCAR:
```
SrTa2Mo
1.0
3.031 0.000 0.000
0.000 4.346 0.000
-1.420 0.000 6.854
Sr Ta Mo
1 2 1
direct
0.000 0.000 0.000 Sr
0.398 0.000 0.519 Ta
0.734 0.500 0.344 Ta
0.151 0.500 0.678 Mo
```

Summary:
**M_tot**: 0.00 μB/f.u.
**Crystal system**: monoclinic
**Uncorrected energy**: -187.8 eV/cell
**ΔE_f**: 0.623 eV/atom
**Calculated density**: 10.03 g cm⁻³
**N(E_F)**: 0.942 states/eV per atom
**ΔE to the lowest computed polymorph**: 0.022 eV/atom



No. 4
The following is a DFT calculation (SCAN) of SrAlCr2 at its PBEsol-relaxed geometry.

Cell and atoms, written as POSCAR:
```
SrAlCr2
1.0
4.500 0.000 0.000
0.000 4.500 0.000
0.000 0.000 4.023
Sr Al Cr
1 1 2
direct
0.000 0.000 0.000 Sr
0.500 0.500 0.000 Al
0.000 0.500 0.500 Cr
0.500 0.000 0.500 Cr
```

Summary:
**M_tot**: 7.78 μB/f.u.
**Crystal system**: tetragonal
**Uncorrected energy**: -64.8 eV/cell
**ΔE_f**: 0.499 eV/atom
**Calculated density**: 4.46 g cm⁻³
**N(E_F)**: 0.586 states/eV per atom



No. 5
The following is a DFT calculation (SCAN) of YCuOs2 at its PBEsol-relaxed geometry.

Cell and atoms, written as POSCAR:
```
YCuOs2
1.0
-1.919 1.919 4.376
1.919 -1.919 4.376
1.919 1.919 -4.376
Y Cu Os
1 1 2
direct
0.000 0.000 0.000 Y
0.500 0.500 0.000 Cu
0.250 0.750 0.500 Os
0.750 0.250 0.500 Os
```

Summary:
**M_tot**: 0.01 μB/f.u.
**Crystal system**: tetragonal
**Uncorrected energy**: -185.2 eV/cell
**ΔE_f**: 0.394 eV/atom
**Calculated density**: 13.73 g cm⁻³
**N(E_F)**: 1.176 states/eV per atom
**ΔE to the lowest computed polymorph**: 0.067 eV/atom



No. 6
The following is a DFT calculation (SCAN) of Fe2HgMo at its PBEsol-relaxed geometry.

Cell and atoms, written as POSCAR:
```
Fe2HgMo
1.0
1.658 -2.124 0.000
1.658 2.124 0.000
0.000 0.000 8.197
Fe Hg Mo
2 1 1
direct
0.000 0.000 0.000 Fe
0.500 0.500 0.205 Fe
0.500 0.500 0.732 Hg
0.000 0.000 0.435 Mo
```

Summary:
**M_tot**: 5.01 μB/f.u.
**Crystal system**: orthorhombic
**Uncorrected energy**: -137.9 eV/cell
**ΔE_f**: 0.348 eV/atom
**Calculated density**: 11.74 g cm⁻³
**N(E_F)**: 0.679 states/eV per atom



No. 7
The following is a DFT calculation (SCAN) of MoAuBr2 at its PBEsol-relaxed geometry.

Cell and atoms, written as POSCAR:
```
MoAuBr2
1.0
1.558 -2.751 0.000
1.558 2.751 0.000
0.000 0.000 9.757
Mo Au Br
1 1 2
direct
0.000 0.000 0.000 Mo
0.500 0.500 0.223 Au
0.000 0.000 0.457 Br
0.500 0.500 0.797 Br
```

Summary:
**M_tot**: 1.09 μB/f.u.
**Crystal system**: orthorhombic
**Energy relative to the elements, uncorrected**: 0.405 eV/atom
**Uncorrected energy**: -141.3 eV/cell
**Calculated density**: 8.99 g cm⁻³
**N(E_F)**: 0.720 states/eV per atom



No. 8
The following is a DFT calculation (SCAN) of Fe3IN at its PBEsol-relaxed geometry.

Cell and atoms, written as POSCAR:
```
Fe3IN
1.0
4.690 0.000 0.000
0.000 4.690 0.000
0.000 0.000 4.690
Fe I N
3 1 1
direct
0.000 0.000 0.500 Fe
0.000 0.500 0.000 Fe
0.500 0.000 0.000 Fe
0.000 0.000 0.000 I
0.500 0.500 0.500 N
```

Summary:
**M_tot**: 10.00 μB/f.u.
**Crystal system**: cubic
**Energy relative to the elements, uncorrected**: 2.363 eV/atom
**Uncorrected energy**: -88.6 eV/cell
**Calculated density**: 4.96 g cm⁻³
**N(E_F)**: 0.918 states/eV per atom



No. 9
The following is a DFT calculation (SCAN) of CaTa2Co at its PBEsol-relaxed geometry.

Cell and atoms, written as POSCAR:
```
CaTa2Co
1.0
4.691 0.000 0.000
0.000 4.691 0.000
0.000 0.000 3.039
Ca Ta Co
1 2 1
direct
0.000 0.000 0.000 Ca
0.000 0.500 0.500 Ta
0.500 0.000 0.500 Ta
0.500 0.500 0.000 Co
```

Summary:
**M_tot**: 1.13 μB/f.u.
**Crystal system**: tetragonal
**Uncorrected energy**: -156.2 eV/cell
**ΔE_f**: 0.995 eV/atom
**Calculated density**: 11.44 g cm⁻³
**N(E_F)**: 1.015 states/eV per atom
**ΔE to the lowest computed polymorph**: 0.331 eV/atom



No. 10
The following is a DFT calculation (SCAN) of AsPb2 at its PBEsol-relaxed geometry.

Cell and atoms, written as POSCAR:
```
AsPb2
1.0
-1.857 1.857 5.666
1.857 -1.857 5.666
1.857 1.857 -5.666
As Pb
1 2
direct
0.000 0.000 0.000 As
0.355 0.355 0.000 Pb
0.645 0.645 0.000 Pb
```

Summary:
**M_tot**: 0.00 μB/f.u.
**Crystal system**: tetragonal
**Uncorrected energy**: -171.4 eV/cell
**ΔE_f**: 0.104 eV/atom
**Calculated density**: 10.39 g cm⁻³
**N(E_F)**: 0.400 states/eV per atom
**ΔE to the lowest computed polymorph**: 0.082 eV/atom



No. 11
The following is a DFT calculation (SCAN) of CaAu2 at its PBEsol-relaxed geometry.

Cell and atoms, written as POSCAR:
```
CaAu2
1.0
-1.962 1.962 8.957
1.962 -1.962 8.957
1.962 1.962 -8.957
Ca Au
2 4
direct
0.375 0.625 0.750 Ca
0.625 0.375 0.250 Ca
0.050 0.800 0.250 Au
0.200 0.950 0.250 Au
0.800 0.050 0.750 Au
0.950 0.200 0.750 Au
```

Summary:
**M_tot**: 0.00 μB/f.u.
**Crystal system**: tetragonal
**Uncorrected energy**: -300.9 eV/cell
**ΔE_f**: -0.817 eV/atom
**Calculated density**: 10.45 g cm⁻³
**N(E_F)**: 0.285 states/eV per atom



No. 12
The following is a DFT calculation (SCAN) of In4Ag at its PBEsol-relaxed geometry.

Cell and atoms, written as POSCAR:
```
In4Ag
1.0
-5.038 5.038 5.038
5.038 -5.038 5.038
5.038 5.038 -5.038
In Ag
16 4
direct
0.000 0.000 0.370 In
0.000 0.321 0.321 In
0.000 0.370 0.000 In
0.000 0.679 0.679 In
0.250 0.500 0.750 In
0.250 0.750 0.500 In
0.321 0.000 0.321 In
0.321 0.321 0.000 In
0.370 0.000 0.000 In
0.500 0.250 0.750 In
0.500 0.750 0.250 In
0.630 0.630 0.630 In
0.679 0.000 0.679 In
0.679 0.679 0.000 In
0.750 0.250 0.500 In
0.750 0.500 0.250 In
0.000 0.000 0.681 Ag
0.000 0.681 0.000 Ag
0.319 0.319 0.319 Ag
0.681 0.000 0.000 Ag
```

Summary:
**M_tot**: 0.00 μB/f.u.
**Crystal system**: cubic
**Uncorrected energy**: -656.5 eV/cell
**ΔE_f**: 0.159 eV/atom
**Calculated density**: 7.36 g cm⁻³
**N(E_F)**: 0.356 states/eV per atom
**ΔE to the lowest computed polymorph**: 0.027 eV/atom



No. 13
The following is a DFT calculation (SCAN) of K3InP2 at its PBEsol-relaxed geometry.

Cell and atoms, written as POSCAR:
```
K3InP2
1.0
-3.791 7.182 3.373
3.791 -7.182 3.373
3.791 7.182 -3.373
K In P
6 2 4
direct
0.184 0.699 0.883 K
0.250 0.250 0.000 K
0.316 0.199 0.515 K
0.684 0.801 0.485 K
0.750 0.750 0.000 K
0.816 0.301 0.117 K
0.250 0.750 0.500 In
0.750 0.250 0.500 In
0.098 0.309 0.407 P
0.402 0.809 0.211 P
0.598 0.191 0.789 P
0.902 0.691 0.593 P
```

Summary:
**M_tot**: 0.00 μB/f.u.
**Crystal system**: orthorhombic
**Uncorrected energy**: -164.4 eV/cell
**ΔE_f**: -0.502 eV/atom
**Calculated density**: 2.66 g cm⁻³



No. 14
The following is a DFT calculation (SCAN) of MgH2Rh2 at its PBEsol-relaxed geometry.

Cell and atoms, written as POSCAR:
```
MgH2Rh2
1.0
-1.549 1.549 5.141
1.549 -1.549 5.141
1.549 1.549 -5.141
Mg H Rh
1 2 2
direct
0.000 0.000 0.000 Mg
0.250 0.750 0.500 H
0.750 0.250 0.500 H
0.348 0.348 0.000 Rh
0.652 0.652 0.000 Rh
```

Summary:
**M_tot**: 0.01 μB/f.u.
**Crystal system**: tetragonal
**Uncorrected energy**: -80.6 eV/cell
**Calculated density**: 7.81 g cm⁻³
**N(E_F)**: 0.535 states/eV per atom



No. 15
The following is a DFT calculation (SCAN) of TlHgPb2 at its PBEsol-relaxed geometry.

Cell and atoms, written as POSCAR:
```
TlHgPb2
1.0
-2.405 2.405 4.722
2.405 -2.405 4.722
2.405 2.405 -4.722
Tl Hg Pb
1 1 2
direct
0.000 0.000 0.000 Tl
0.500 0.500 0.000 Hg
0.250 0.750 0.500 Pb
0.750 0.250 0.500 Pb
```

Summary:
**M_tot**: 0.00 μB/f.u.
**Crystal system**: tetragonal
**Uncorrected energy**: -292.0 eV/cell
**ΔE_f**: 0.026 eV/atom
**Calculated density**: 12.45 g cm⁻³
**N(E_F)**: 0.378 states/eV per atom



No. 16
The following is a DFT calculation (SCAN) of TeMoWN2 at its PBEsol-relaxed geometry.

Cell and atoms, written as POSCAR:
```
TeMoWN2
1.0
3.904 0.000 0.000
0.000 3.904 0.000
0.000 0.000 5.563
Te Mo W N
1 1 1 2
direct
0.000 0.000 0.000 Te
0.000 0.000 0.500 Mo
0.500 0.500 0.000 W
0.000 0.500 0.500 N
0.500 0.000 0.500 N
```

Summary:
**M_tot**: 3.42 μB/f.u.
**Crystal system**: tetragonal
**Energy relative to the elements, uncorrected**: 1.236 eV/atom
**Uncorrected energy**: -154.2 eV/cell
**Calculated density**: 8.53 g cm⁻³
**N(E_F)**: 0.400 states/eV per atom



No. 17
The following is a DFT calculation (SCAN) of InFeSn3 at its PBEsol-relaxed geometry.

Cell and atoms, written as POSCAR:
```
InFeSn3
1.0
4.909 0.000 0.000
0.000 4.909 0.000
0.000 0.000 4.909
In Fe Sn
1 1 3
direct
0.000 0.000 0.000 In
0.500 0.500 0.500 Fe
0.000 0.500 0.500 Sn
0.500 0.000 0.500 Sn
0.500 0.500 0.000 Sn
```

Summary:
**M_tot**: 0.00 μB/f.u.
**Crystal system**: cubic
**Uncorrected energy**: -157.8 eV/cell
**ΔE_f**: 0.288 eV/atom
**Calculated density**: 7.39 g cm⁻³
**N(E_F)**: 0.464 states/eV per atom



No. 18
The following is a DFT calculation (SCAN) of TlTe2 at its PBEsol-relaxed geometry.

Cell and atoms, written as POSCAR:
```
TlTe2
1.0
0.000 7.592 7.592
7.592 0.000 7.592
7.592 7.592 0.000
Tl Te
8 16
direct
0.178 0.774 0.774 Tl
0.226 0.226 0.226 Tl
0.226 0.226 0.822 Tl
0.226 0.822 0.226 Tl
0.774 0.178 0.774 Tl
0.774 0.774 0.178 Tl
0.774 0.774 0.774 Tl
0.822 0.226 0.226 Tl
0.000 0.500 0.500 Te
0.164 0.164 0.586 Te
0.164 0.586 0.164 Te
0.164 0.586 0.586 Te
0.414 0.414 0.836 Te
0.414 0.836 0.414 Te
0.414 0.836 0.836 Te
0.500 0.000 0.500 Te
0.500 0.500 0.000 Te
0.500 0.500 0.500 Te
0.586 0.164 0.164 Te
0.586 0.164 0.586 Te
0.586 0.586 0.164 Te
0.836 0.414 0.414 Te
0.836 0.414 0.836 Te
0.836 0.836 0.414 Te
```

Summary:
**M_tot**: 0.00 μB/f.u.
**Crystal system**: cubic
**Energy relative to the elements, uncorrected**: -0.079 eV/atom
**Uncorrected energy**: -1176.8 eV/cell
**Calculated density**: 6.98 g cm⁻³
**N(E_F)**: 0.192 states/eV per atom
**ΔE to the lowest computed polymorph**: 0.048 eV/atom



No. 19
The following is a DFT calculation (SCAN) of GdCdPt2 at its PBEsol-relaxed geometry.

Cell and atoms, written as POSCAR:
```
GdCdPt2
1.0
0.000 3.356 3.356
3.356 0.000 3.356
3.356 3.356 0.000
Gd Cd Pt
1 1 2
direct
0.000 0.000 0.000 Gd
0.500 0.500 0.500 Cd
0.250 0.250 0.250 Pt
0.750 0.750 0.750 Pt
```

Summary:
**M_tot**: 7.15 μB/f.u.
**Crystal system**: cubic
**Uncorrected energy**: -233.0 eV/cell
**ΔE_f**: -0.845 eV/atom
**Calculated density**: 14.49 g cm⁻³
**N(E_F)**: 0.388 states/eV per atom



No. 20
The following is a DFT calculation (SCAN) of SrCl at its PBEsol-relaxed geometry.

Cell and atoms, written as POSCAR:
```
SrCl
1.0
-2.077 2.077 8.044
2.077 -2.077 8.044
2.077 2.077 -8.044
Sr Cl
2 2
direct
0.375 0.625 0.750 Sr
0.625 0.375 0.250 Sr
0.125 0.875 0.250 Cl
0.875 0.125 0.750 Cl
```

Summary:
**M_tot**: 0.51 μB/f.u.
**Crystal system**: tetragonal
**Energy relative to the elements, uncorrected**: -1.686 eV/atom
**Uncorrected energy**: -67.3 eV/cell
**Calculated density**: 2.94 g cm⁻³
**N(E_F)**: 0.530 states/eV per atom